BiSbPtI2 (meta-GGA SCAN, PBEsol geometry); space-group type = P4/mmm (123); E above lowest polymorph = 0.000 eV per atom; formation energy from raw total energies = 28 kJ/mol of atoms
1.0
-0.9856 -1.7348 -4.8959
3.6077 -3.8522 0.6386
-3.7769 -3.2219 1.9020
I Sb Pt Bi
2 1 1 1
Cartesian
-1.8884 -1.6110 0.9510
1.8039 -1.9261 0.3193
-0.4928 -0.8674 -2.4480
0.0000 0.0000 0.0000
-0.5774 -4.4044 -1.1777

---

BaThO3 (meta-GGA SCAN, PBEsol geometry); space-group type = Pnma (62); formation energy from raw total energies = -349 kJ/mol of atoms
1.0
-4.9121 -3.1080 2.4841
3.2637 -0.8421 5.4002
-3.2643 7.6950 3.1728
O Th Ba
12 4 4
Cartesian
-2.1536 3.3966 3.4359
-3.4508 6.4547 4.6968
-2.7591 0.3483 7.6212
-5.1729 2.5080 7.4909
-2.1712 5.8107 7.5751
-0.8739 2.7527 6.3142
-4.0387 0.9923 4.7430
0.2603 1.2370 3.5663
0.3546 -0.1569 7.0439
-2.7415 -2.0658 3.4821
-5.2672 3.9019 4.0132
-1.4618 -2.7098 6.3603
-2.4561 -1.5540 1.2420
1.6319 -0.4211 2.7001
-4.0882 2.2935 2.8285
-0.0003 3.4265 4.2865
0.6572 4.9220 7.6344
-1.5898 -0.1124 4.9354
-3.3229 3.8573 6.1218
-5.5699 -1.1770 3.4228

---

Q: formation energy from raw total energies of number 1 (BiSbPtI2)?
A: 28 kJ/mol of atoms